Compound: CsRbTi2I8
Source: Alexandria
Functional: PBE
Structure: relaxed

Structure (POSCAR):
```
CsRbTi2I8
1.0
-1.755 6.831 3.315
-4.645 -6.163 1.080
6.527 -3.170 9.986
I Cs Rb Ti
8 1 1 2
Direct
0.655 0.661 0.713 I
0.339 0.994 0.713 I
0.006 0.345 0.713 I
0.333 0.667 0.990 I
0.994 0.655 0.287 I
0.661 0.006 0.287 I
0.345 0.339 0.287 I
0.667 0.333 0.010 I
0.000 0.000 0.000 Cs
0.000 0.000 0.500 Rb
0.333 0.667 0.777 Ti
0.667 0.333 0.223 Ti
```

Calculated values
Crystal system: trigonal
ρ: 3.40 Mg/m³
Uncorrected formation energy: -0.96 eV per atom